First-principles (PBE-GGA) data for an optimized crystal structure of CaMnPd4, as listed in Alexandria.

a b c (Å): 5.346 5.346 5.346
angles (deg): 60.00 60.00 60.00
Sites, in units of the cell vectors:
1 Ca 0.000 0.000 0.000
2 Mn 0.250 0.250 0.250
3 Pd 0.126 0.625 0.625
4 Pd 0.625 0.126 0.625
5 Pd 0.625 0.625 0.126
6 Pd 0.625 0.625 0.625


First-principles (PBE-GGA) data for an optimized crystal structure of CaMnPd6, as listed in Alexandria.

a b c (Å): 4.037 4.037 8.033
angles (deg): 90.00 90.00 90.00
Sites, in units of the cell vectors:
1 Ca 0.000 0.000 0.000
2 Mn 0.000 0.000 0.500
3 Pd 0.000 0.500 0.267
4 Pd 0.000 0.500 0.733
5 Pd 0.500 0.000 0.267
6 Pd 0.500 0.000 0.733
7 Pd 0.500 0.500 0.000
8 Pd 0.500 0.500 0.500


First-principles (PBE-GGA) data for an optimized crystal structure of CaMnPd3, as listed in Alexandria.

a b c (Å): 4.649 4.649 4.649
angles (deg): 90.00 90.00 90.00
Sites, in units of the cell vectors:
1 Ca 0.000 0.000 0.000
2 Mn 0.500 0.500 0.500
3 Pd 0.000 0.500 0.500
4 Pd 0.500 0.000 0.500
5 Pd 0.500 0.500 0.000


First-principles (PBE-GGA) data for an optimized crystal structure of CaMn2Pd, as listed in Alexandria.

a b c (Å): 4.695 4.695 4.695
angles (deg): 60.00 60.00 60.00
Sites, in units of the cell vectors:
1 Ca 0.000 0.000 0.000
2 Mn 0.250 0.250 0.250
3 Mn 0.750 0.750 0.750
4 Pd 0.500 0.500 0.500


First-principles (PBE-GGA) data for an optimized crystal structure of Ca2MnPd, as listed in Alexandria.

a b c (Å): 6.505 6.505 6.505
angles (deg): 102.95 102.95 123.48
Sites, in units of the cell vectors:
1 Ca 0.088 0.625 0.963
2 Ca 0.375 0.338 0.463
3 Ca 0.662 0.125 0.037
4 Ca 0.875 0.912 0.537
5 Mn 0.250 0.750 0.500
6 Mn 0.500 0.500 0.000
7 Pd 0.000 0.000 0.000
8 Pd 0.750 0.250 0.500


First-principles (PBE-GGA) data for an optimized crystal structure of CaMn2Pd, as listed in Alexandria.

a b c (Å): 9.860 9.860 9.860
angles (deg): 154.93 154.93 35.76
Sites, in units of the cell vectors:
1 Ca 0.375 0.625 0.750
2 Ca 0.625 0.375 0.250
3 Mn 0.000 0.000 0.000
4 Mn 0.000 0.000 0.500
5 Mn 0.000 0.500 0.000
6 Mn 0.500 0.000 0.500
7 Pd 0.125 0.875 0.250
8 Pd 0.875 0.125 0.750


First-principles (PBE-GGA) data for an optimized crystal structure of RbCaMnPd2, as listed in Alexandria.

a b c (Å): 5.158 5.158 5.925
angles (deg): 90.00 90.00 90.00
Sites, in units of the cell vectors:
1 Rb 0.000 0.000 0.000
2 Ca 0.000 0.000 0.500
3 Mn 0.500 0.500 0.000
4 Pd 0.000 0.500 0.500
5 Pd 0.500 0.000 0.500


First-principles (PBE-GGA) data for an optimized crystal structure of CaMnPdRh2, as listed in Alexandria.

a b c (Å): 4.640 4.640 4.845
angles (deg): 90.00 90.00 90.00
Sites, in units of the cell vectors:
1 Ca 0.000 0.000 0.000
2 Mn 0.000 0.000 0.500
3 Pd 0.500 0.500 0.500
4 Rh 0.000 0.500 0.000
5 Rh 0.500 0.000 0.000


| no. | E (eV per atom) |
| --- | --- |
| 1 | -5.63 |
| 2 | -5.64 |
| 3 | -5.09 |
| 4 | -6.17 |
| 5 | -4.40 |
| 6 | -5.88 |
| 7 | -3.55 |
| 8 | -4.67 |